Entry 1:
Here is VReTcGe after structural relaxation from Alexandria. Energies are from PBE.

Summary:
Formation energy = -0.651 eV/f.u.

CIF file:
```
data_VReTcGe
_space_group_name_H-M_alt 'F -4 3 m'
_space_group_IT_number 216
_space_group_name_Hall 'F -4 2 3'
_cell_length_a 6.092
_cell_length_b 6.092
_cell_length_c 6.092
_cell_angle_alpha 90.00
_cell_angle_beta 90.00
_cell_angle_gamma 90.00
loop_
_atom_site_label
_atom_site_fract_x
_atom_site_fract_y
_atom_site_fract_z
_atom_site_occupancy
V1 0.000 0.000 0.000 1
Re1 0.250 0.250 0.250 1
Tc1 0.250 0.250 0.750 1
Ge1 0.000 0.000 0.500 1
```

Entry 2:
Here is Ca2TlP after structural relaxation from Alexandria. Energies are from PBE.

Summary:
Formation energy = -2.689 eV/f.u.

CIF file:
```
data_Ca2TlP
_space_group_name_H-M_alt 'P 1 2/m 1'
_space_group_IT_number 10
_cell_length_a 3.758
_cell_length_b 3.753
_cell_length_c 7.184
_cell_angle_alpha 90.00
_cell_angle_beta 90.09
_cell_angle_gamma 90.00
loop_
_space_group_symop_operation_xyz
'x,y,z'
'-x,-y,-z'
'-x,y,-z'
'x,-y,z'
loop_
_atom_site_label
_atom_site_fract_x
_atom_site_fract_y
_atom_site_fract_z
_atom_site_occupancy
Ca1 0.001 0.000 0.293 1
Tl1 0.500 0.500 0.000 1
P1 0.500 0.500 0.500 1
```

Entry 3:
Here is KCd2NiCl8 after structural relaxation from Alexandria. Energies are from PBE.

Summary:
Raw formation energy = -0.931 eV/atom

CIF file:
```
data_KCd2NiCl8
_space_group_name_H-M_alt 'P -1'
_space_group_IT_number 2
_cell_length_a 6.091
_cell_length_b 6.501
_cell_length_c 8.023
_cell_angle_alpha 89.80
_cell_angle_beta 89.57
_cell_angle_gamma 87.24
loop_
_space_group_symop_operation_xyz
'x,y,z'
'-x,-y,-z'
loop_
_atom_site_label
_atom_site_fract_x
_atom_site_fract_y
_atom_site_fract_z
_atom_site_occupancy
K1 0.000 0.000 0.000 1
Cd1 0.498 0.501 0.260 1
Ni1 0.000 0.000 0.500 1
Cl1 0.222 0.857 0.692 1
Cl2 0.225 0.861 0.307 1
Cl3 0.259 0.342 0.501 1
Cl4 0.283 0.366 0.000 1
```

Entry 4:
Here is TaZn2SiAu after structural relaxation from Alexandria. Energies are from PBE.

Summary:
Raw formation energy = 0.611 eV/atom

CIF file:
```
data_TaZn2SiAu
_space_group_name_H-M_alt 'P 4/m m m'
_space_group_IT_number 123
_space_group_name_Hall '-P 4 2'
_cell_length_a 4.468
_cell_length_b 4.468
_cell_length_c 4.825
_cell_angle_alpha 90.00
_cell_angle_beta 90.00
_cell_angle_gamma 90.00
loop_
_atom_site_label
_atom_site_fract_x
_atom_site_fract_y
_atom_site_fract_z
_atom_site_occupancy
Ta1 0.000 0.000 0.000 1
Zn1 0.000 0.500 0.500 1
Si1 0.000 0.000 0.500 1
Au1 0.500 0.500 0.000 1
```